Compound: NaIn2Rh
Source: Alexandria via LeMat-Bulk
Functional: PBE-GGA
Structure: optimized geometry

```
8
Lattice="4.646 0.000 0.000 0.000 3.161 0.000 0.000 0.000 11.903" Properties=species:S:1:pos:R:3 pbc="T T T"
Na 1.162 0.000 0.955
Na 3.485 0.000 10.948
In 1.162 1.580 4.741
In 1.162 1.580 9.418
In 3.485 1.580 2.485
In 3.485 1.580 7.162
Rh 1.162 0.000 7.104
Rh 3.485 0.000 4.799
```

Calculated values
energy relative to the elements = -0.855 eV/f.u.
energy = -3.751 eV per atom